(1)
A plane-wave DFT calculation with PBE was carried out for RbCaP2S after structural relaxation.

Results
Energy relative to the elements, uncorrected, meV/atom: 982

Lattice parameters (Å, degrees): 5.3170 5.3170 5.5566 90.00 90.00 90.00
With the nearest neighbours (Å) after each atom.
Space group P4/mmm (No. 123)
Symmetry-distinct sites (fractional):
Rb 0.0000 0.0000 0.0000 (multiplicity 1)  4 P 2.66, 2 S 2.78
Ca 0.5000 0.5000 0.5000 (multiplicity 1)  4 S 3.76, 8 P 3.85
P 0.0000 0.5000 0.0000 (multiplicity 2)  2 Rb 2.66
S 0.0000 0.0000 0.5000 (multiplicity 1)  2 Rb 2.78

=====

(2)
A plane-wave DFT calculation with PBE was carried out for NaLi2ZrGa after structural relaxation.

Results
Energy of formation, meV/atom: 719

Lattice parameters (Å, degrees): 4.3721 4.3721 5.6628 90.00 90.00 90.00
With the nearest neighbours (Å) after each atom.
Space group P4/mmm (No. 123)
Symmetry-distinct sites (fractional):
Na 0.0000 0.0000 0.0000 (multiplicity 1)  4 Li 2.19
Li 0.0000 0.5000 0.0000 (multiplicity 2)  2 Na 2.19
Zr 0.0000 0.0000 0.5000 (multiplicity 1)  2 Na 2.83, 4 Ga 3.09
Ga 0.5000 0.5000 0.5000 (multiplicity 1)  4 Zr 3.09

=====

(3)
A plane-wave DFT calculation with PBE was carried out for KMn3 after structural relaxation.

Results
Energy of formation, meV/atom: 852

Lattice parameters (Å, degrees): 3.0050 3.0050 29.5047 90.00 90.00 120.00
With the nearest neighbours (Å) after each atom.
Space group R-3m (No. 166, hexagonal axes)
Symmetry-distinct sites (fractional):
K 0.0000 0.0000 0.0000 (multiplicity 3)  6 K 3.00
Mn 0.0000 0.0000 0.2283 (multiplicity 6)  3 Mn 2.51
Mn 0.0000 0.0000 0.5000 (multiplicity 3)  6 Mn 2.51

=====

(4)
A plane-wave DFT calculation with PBE was carried out for Pu2BiRu after structural relaxation.

Results
Energy of formation, meV/atom: -267

Lattice parameters (Å, degrees): 3.3292 3.3292 8.6810 90.00 90.00 90.00
With the nearest neighbours (Å) after each atom.
Space group P4/mmm (No. 123)
Symmetry-distinct sites (fractional):
Pu 0.0000 0.0000 0.2004 (multiplicity 2)  4 Ru 2.93
Bi 0.5000 0.5000 0.5000 (multiplicity 1)  4 Bi 3.33, 8 Pu 3.51
Ru 0.5000 0.5000 0.0000 (multiplicity 1)  8 Pu 2.93